Entry 1:
{
  "formula": "Ag6Pd3Pt",
  "functional": "PBE",
  "state": "optimized geometry",
  "lattice": [[-1.945, -0.795, -1.865], [7.658, -3.091, -6.667], [-1.679, -9.823, 5.935]],
  "species": ["Pd", "Pd", "Pd", "Pd", "Pd", "Pd", "Ag", "Ag", "Ag", "Ag", "Ag", "Ag", "Ag", "Ag", "Ag", "Ag", "Ag", "Ag", "Pt", "Pt"],
  "fractional_positions": [[0.250, 0.380, 0.501], [0.250, 0.574, 0.095], [0.750, 0.426, 0.905], [0.750, 0.620, 0.499], [0.250, 0.930, 0.899], [0.750, 0.070, 0.101], [0.250, 0.190, 0.922], [0.750, 0.779, 0.711], [0.250, 0.267, 0.701], [0.750, 0.123, 0.486], [0.250, 0.659, 0.883], [0.750, 0.507, 0.694], [0.750, 0.733, 0.299], [0.750, 0.341, 0.117], [0.250, 0.221, 0.289], [0.250, 0.493, 0.306], [0.250, 0.877, 0.514], [0.750, 0.810, 0.078], [0.250, 0.962, 0.281], [0.750, 0.038, 0.719]]
}


Entry 2:
{
  "formula": "Ag3Pd6Pt",
  "functional": "PBE",
  "state": "optimized geometry",
  "lattice": [[-2.395, -2.478, -3.945], [5.232, 0.117, 0.227], [-0.031, -6.147, 3.880]],
  "species": ["Ag", "Ag", "Ag", "Pd", "Pd", "Pd", "Pd", "Pd", "Pd", "Pt"],
  "fractional_positions": [[0.000, 0.000, 0.500], [0.667, 0.333, 0.500], [0.333, 0.667, 0.500], [0.426, 0.000, 0.819], [0.426, 0.426, 0.181], [0.574, 0.000, 0.181], [0.000, 0.574, 0.181], [0.574, 0.574, 0.819], [0.000, 0.426, 0.819], [0.000, 0.000, 0.000]]
}


Entry 3:
{
  "formula": "Ag5PdPt",
  "functional": "PBE",
  "state": "optimized geometry",
  "lattice": [[5.586, 0.760, -0.542], [2.493, 5.056, -0.542], [2.269, 1.634, 9.391]],
  "species": ["Ag", "Ag", "Ag", "Ag", "Ag", "Ag", "Ag", "Ag", "Ag", "Ag", "Pt", "Pt", "Pd", "Pd"],
  "fractional_positions": [[0.251, 0.219, 0.809], [0.369, 0.353, 0.534], [0.781, 0.749, 0.691], [0.263, 0.737, 0.750], [0.353, 0.369, 0.034], [0.631, 0.647, 0.466], [0.219, 0.251, 0.309], [0.647, 0.631, 0.966], [0.749, 0.781, 0.191], [0.737, 0.263, 0.250], [0.000, 0.000, 0.500], [0.000, 0.000, 0.000], [0.758, 0.242, 0.750], [0.242, 0.758, 0.250]]
}


Let's list raw total energy in order: -77.04 -44.02 -49.10 eV per cell.
Let's list formation enthalpy at 0 K in order: 0.02 0.17 0.13 eV/atom.